Entry 1:
VASP calculation (PBE-GGA) on a geometry-optimized CsCaPdO2 structure.

Structure (POSCAR):
```
CsCaPdO2
1.0
3.095 -6.590 0.000
3.095 6.590 0.000
0.000 0.000 5.401
Cs Ca Pd O
2 2 2 4
direct
0.250 0.750 0.767
0.750 0.250 0.233
0.250 0.250 0.500
0.750 0.750 0.500
0.000 0.000 0.000
0.500 0.500 0.000
0.094 0.906 0.297
0.406 0.594 0.297
0.594 0.406 0.703
0.906 0.094 0.703
```

Calculated values
E_tot: -50.228 eV per cell
SG: No. 67
Crystal system: orthorhombic

---

Entry 2:
VASP calculation (PBE-GGA) on a geometry-optimized CsCaPmO3 structure.

Structure (POSCAR):
```
CsCaPmO3
1.0
7.497 0.000 0.000
0.000 3.582 0.000
-0.476 0.000 8.859
Cs Ca Pm O
2 2 2 6
direct
0.065 0.250 0.311
0.935 0.750 0.689
0.312 0.750 0.979
0.688 0.250 0.021
0.434 0.250 0.666
0.566 0.750 0.334
0.210 0.250 0.840
0.332 0.750 0.516
0.435 0.250 0.161
0.565 0.750 0.839
0.668 0.250 0.484
0.790 0.750 0.160
```

Calculated values
E_tot: -76.152 eV per cell
SG: No. 11
Crystal system: monoclinic

---

What did we get for DOS(E_F)? Answer: 5.68, 0.00 states/eV/f.u., in the order shown.
What did we get for ΔE_f (raw)? Answer: -1.430, -2.599 eV/atom, in the order shown.
What did we get for size of the total moment? Answer: 0.096, 0.000 μB/atom, in the order shown.